Record 1
{
  "formula": "Cs3NaSb2O6",
  "functional": "PBE",
  "state": "optimized geometry",
  "raw_formation_energy_ev_per_atom": -1.34,
  "dos_at_fermi_per_ev_cell": 4.754,
  "cell": [[6.663, 0.000, 0.000], [-3.332, 5.771, 0.000], [0.000, 0.000, 7.906]],
  "species": ["Cs", "Cs", "Cs", "Na", "Sb", "Sb", "O", "O", "O", "O", "O", "O"],
  "fractional_positions": [[0.000, 0.000, 0.000], [0.333, 0.667, 0.660], [0.667, 0.333, 0.340], [0.000, 0.000, 0.500], [0.333, 0.667, 0.210], [0.667, 0.333, 0.790], [0.178, 0.357, 0.299], [0.178, 0.822, 0.299], [0.357, 0.178, 0.701], [0.643, 0.822, 0.299], [0.822, 0.178, 0.701], [0.822, 0.643, 0.701]]
}

***

Record 2
{
  "formula": "NaMgPb2Br6",
  "functional": "PBE",
  "state": "optimized geometry",
  "raw_formation_energy_ev_per_atom": -1.03,
  "cell": [[7.441, 0.000, 0.000], [3.572, 6.568, 0.000], [2.842, -0.799, 7.212]],
  "species": ["Na", "Mg", "Pb", "Pb", "Br", "Br", "Br", "Br", "Br", "Br"],
  "fractional_positions": [[0.000, 0.000, 0.000], [0.122, 0.430, 0.459], [0.477, 0.264, 0.902], [0.484, 0.748, 0.417], [0.094, 0.713, 0.670], [0.209, 0.113, 0.224], [0.278, 0.132, 0.679], [0.549, 0.351, 0.242], [0.710, 0.507, 0.674], [0.955, 0.693, 0.238]]
}

***

Record 3
{
  "formula": "HfTi2Ga4",
  "functional": "PBE",
  "state": "optimized geometry",
  "ef_ev_per_atom": -0.3210,
  "dos_at_fermi_per_ev_cell": 10.009,
  "cell": [[5.409, 0.000, 0.000], [1.336, 6.738, 0.000], [1.498, 1.283, 6.790]],
  "species": ["Hf", "Hf", "Ti", "Ti", "Ti", "Ti", "Ga", "Ga", "Ga", "Ga", "Ga", "Ga", "Ga", "Ga"],
  "fractional_positions": [[0.000, 0.000, 0.000], [0.016, 0.436, 0.575], [0.108, 0.208, 0.278], [0.438, 0.307, 0.901], [0.581, 0.253, 0.310], [0.603, 0.751, 0.824], [0.127, 0.705, 0.775], [0.254, 0.591, 0.165], [0.318, 0.060, 0.627], [0.488, 0.935, 0.141], [0.514, 0.558, 0.519], [0.796, 0.096, 0.648], [0.854, 0.840, 0.399], [0.879, 0.411, 0.982]]
}

***

Record 4
{
  "formula": "LaZnGaPt3",
  "functional": "PBE",
  "state": "optimized geometry",
  "ef_ev_per_atom": -0.6894,
  "dos_at_fermi_per_ev_cell": 5.615,
  "cell": [[3.456, -6.102, 0.000], [3.456, 6.102, 0.000], [0.000, 0.000, 5.743]],
  "species": ["La", "La", "Zn", "Zn", "Ga", "Ga", "Pt", "Pt", "Pt", "Pt", "Pt", "Pt"],
  "fractional_positions": [[0.210, 0.790, 0.750], [0.790, 0.210, 0.250], [0.465, 0.535, 0.750], [0.535, 0.465, 0.250], [0.123, 0.877, 0.250], [0.877, 0.123, 0.750], [0.208, 0.208, 0.000], [0.208, 0.208, 0.500], [0.322, 0.678, 0.250], [0.678, 0.322, 0.750], [0.792, 0.792, 0.000], [0.792, 0.792, 0.500]]
}

***

Record 5
{
  "formula": "RuPt",
  "functional": "PBE",
  "state": "optimized geometry",
  "ef_ev_per_atom": 0.0804,
  "dos_at_fermi_per_ev_cell": 3.246,
  "cell": [[1.381, 0.797, 4.468], [-1.381, 0.797, 4.468], [0.000, -1.595, 4.468]],
  "species": ["Ru", "Pt"],
  "fractional_positions": [[0.000, 0.000, 0.000], [0.500, 0.500, 0.500]]
}

***

Asked for calculated total energy across the records above, the calculation gives -57.90 -30.64 -40.10 -31.49 -15.16 eV per formula unit in order.